(1)
This record from Alexandria describes a relaxed structure of InRu2. The functional is PBE.

Cell: 5.258 5.258 6.706 Å, 78.86 78.86 32.21°
Fractional positions:
In  0.011  0.011  0.991
In  0.314  0.314  0.345
Ru  0.673  0.673  0.670
Ru  0.594  0.594  0.296
Ru  0.956  0.956  0.608
Ru  0.286  0.286  0.924

* DFT total energy: -6.85 eV per atom

(2)
This record from Alexandria describes a relaxed structure of In3Ru2. The functional is PBE.

Cell: 11.274 11.274 11.274 Å, 16.00 16.00 16.00°
Each line ends with the local moment (μB).
Fractional positions:
In  0.000  0.000  0.000  0.00
In  0.793  0.793  0.793  0.00
In  0.207  0.207  0.207  0.00
Ru  0.397  0.397  0.397  0.08
Ru  0.603  0.603  0.603  0.08

* DFT total energy: -5.09 eV per atom

(3)
This record from Alexandria describes a relaxed structure of In3Ru. The functional is PBE.

Cell: 5.496 5.496 5.496 Å, 116.07 116.07 116.07°
Fractional positions:
In  0.000  0.000  0.000
In  0.500  0.500  0.000
In  0.000  0.500  0.500
Ru  0.500  0.000  0.500

* DFT total energy: -4.03 eV per atom

(4)
This record from Alexandria describes a relaxed structure of In3Ru2. The functional is PBE.

Cell: 8.294 7.424 5.490 Å, 78.35 61.24 40.41°
Fractional positions:
In  0.730  0.478  0.380
In  0.412  0.380  0.478
In  0.772  0.520  0.838
In  0.870  0.838  0.520
In  0.081  0.919  0.919
In  0.331  0.169  0.169
Ru  0.211  0.883  0.340
Ru  0.565  0.340  0.883
Ru  0.367  0.039  0.685
Ru  0.910  0.685  0.039

* DFT total energy: -5.16 eV per atom

(5)
This record from Alexandria describes a relaxed structure of InRu2. The functional is PBE.

Cell: 7.449 7.449 4.596 Å, 90.00 90.00 157.73°
Fractional positions:
In  0.788  0.212  0.750
In  0.212  0.788  0.250
Ru  0.104  0.896  0.750
Ru  0.455  0.545  0.750
Ru  0.545  0.455  0.250
Ru  0.896  0.104  0.250

* DFT total energy: -6.87 eV per atom

(6)
This record from Alexandria describes a relaxed structure of In6Ru7. The functional is PBE.

Cell: 9.726 9.726 9.726 Å, 32.01 32.01 32.01°
Each line ends with the local moment (μB).
Fractional positions:
Ru  0.919  0.406  0.406  0.24
Ru  0.406  0.406  0.919  0.24
Ru  0.406  0.919  0.406  0.24
Ru  0.081  0.594  0.594  0.24
Ru  0.594  0.081  0.594  0.24
Ru  0.594  0.594  0.081  0.24
Ru  0.500  0.500  0.500  -0.16
In  0.949  0.949  0.949  -0.01
In  0.051  0.051  0.051  -0.01
In  0.846  0.846  0.846  -0.01
In  0.154  0.154  0.154  -0.01
In  0.664  0.664  0.664  -0.01
In  0.336  0.336  0.336  -0.01

* DFT total energy: -6.03 eV per atom

(7)
This record from Alexandria describes a relaxed structure of In2Ru3. The functional is PBE.

Cell: 4.421 4.421 5.511 Å, 90.00 90.00 120.00°
Each line ends with the local moment (μB).
Fractional positions:
In  0.667  0.333  0.178  -0.03
In  0.333  0.667  0.822  -0.03
Ru  0.000  0.000  0.000  0.98
Ru  0.667  0.333  0.659  1.02
Ru  0.333  0.667  0.341  1.02

* DFT total energy: -5.95 eV per atom

(8)
This record from Alexandria describes a relaxed structure of InRu2. The functional is PBE.

Cell: 8.220 8.220 8.220 Å, 153.33 153.33 38.07°
Fractional positions:
In  0.000  0.000  0.000
In  0.750  0.250  0.500
Ru  0.577  0.577  0.000
Ru  0.173  0.673  0.500
Ru  0.423  0.423  0.000
Ru  0.327  0.827  0.500

* DFT total energy: -6.54 eV per atom